This record from the Alexandria database describes a relaxed LaMnGa3 crystal. The functional is PBE.

Calculated values
Formation energy (eV/atom): 1.131
DOS at the Fermi energy (states/eV per cell): 5.9

Cell: 5.6326 5.6326 5.6326 Å, 90.00 90.00 90.00°
With the nearest neighbours (Å) after each atom.
Fractional coordinates of all 5 atoms:
La1 0.0000 0.0000 0.0000  6 Ga 2.82
Mn1 0.5000 0.5000 0.5000  12 Ga 3.98
Ga1 0.0000 0.0000 0.5000  2 La 2.82
Ga2 0.0000 0.5000 0.0000  2 La 2.82
Ga3 0.5000 0.0000 0.0000  2 La 2.82